A plane-wave DFT calculation with PBE was carried out for crystalline KScOs3 at its relaxed geometry.

## Properties
* V: 96.16 Å³ per cell
* E: -5.157 eV per atom
* calculated density: 11.31 g/cm3

```
data_KScOs3
_symmetry_space_group_name_H-M 'P m -3 m'
_symmetry_Int_Tables_number 221
_symmetry_space_group_name_Hall '-P 4 2 3'
_cell_length_a 4.581
_cell_length_b 4.581
_cell_length_c 4.581
_cell_angle_alpha 90.00
_cell_angle_beta 90.00
_cell_angle_gamma 90.00
loop_
_atom_site_label
_atom_site_type_symbol
_atom_site_fract_x
_atom_site_fract_y
_atom_site_fract_z
K1 K 0.000 0.000 0.000
Sc1 Sc 0.500 0.500 0.500
Os1 Os 0.000 0.000 0.500
```